Crystalline FeH4S2NO8 at its relaxed geometry. Source: the Alexandria database, functional PBE+U.

Output
Symmetry ... R3, No. 146
Electronic total energy ... -94.01 eV per formula unit

Unit cell a=4.9024 b=4.9024 c=8.8197 alpha=73.86 beta=73.86 gamma=60.00
Last column: nearest neighbours and their distance in Å.
Fractional positions:
H (0.6028, 0.6038, 0.5374)  1 N 1.04
H (0.6038, 0.2560, 0.5374)  1 N 1.04
O (0.0188, 0.5899, 0.1442)  1 S 1.50
O (0.4078, 0.7569, 0.8574)  1 S 1.49
O (0.2066, 0.2066, 0.3801)  1 S 1.45
O (0.5899, 0.2471, 0.1442)  1 S 1.50
O (0.9779, 0.4078, 0.8574)  1 S 1.49
O (0.2471, 0.0188, 0.1442)  1 S 1.50
N (0.5008, 0.5008, 0.4976)  4 H 1.03-1.04
O (0.7927, 0.7927, 0.6220)  1 S 1.48
Fe (0.9991, 0.9991, 0.0028)  6 O 2.02-2.03
S (0.7336, 0.7336, 0.7991)  4 O 1.48-1.49
S (0.2646, 0.2646, 0.2062)  4 O 1.45-1.50
H (0.5417, 0.5417, 0.3748)  1 N 1.03
O (0.7569, 0.9779, 0.8574)  1 S 1.49
H (0.2560, 0.6028, 0.5374)  1 N 1.04

***

Crystalline FeH10S2N4O8 at its relaxed geometry. Source: the Alexandria database, functional PBE+U.

Output
Symmetry ... P-1, No. 2
Electronic total energy ... -141.31 eV per formula unit

Unit cell a=5.4202 b=5.9235 c=7.5686 alpha=91.31 beta=105.49 gamma=97.31
Last column: nearest neighbours and their distance in Å.
Fractional positions:
H (0.7160, 0.3924, 0.5727)  1 N 1.05
N (0.9483, 0.1932, 0.7461)  2 H 1.03-1.04
O (0.7060, 0.4480, 0.3444)  1 S 1.49
H (0.1087, 0.3066, 0.7425)  1 N 1.04
H (0.2472, 0.5492, 0.1983)  1 N 1.03
O (0.2344, 0.7623, 0.9176)  1 S 1.49
N (0.7325, 0.3228, 0.7014)  3 H 1.03-1.05
H (0.4348, 0.7921, 0.3047)  1 N 1.05
N (0.2675, 0.6772, 0.2986)  3 H 1.03-1.05
O (0.3345, 0.2338, 0.1289)  1 S 1.51
H (0.0830, 0.9188, 0.3659)  1 N 1.03
H (0.9170, 0.0812, 0.6341)  1 N 1.03
O (0.6566, 0.0335, 0.3353)  1 S 1.49
S (0.3826, 0.7650, 0.7777)  4 O 1.49-1.51
O (0.6655, 0.7662, 0.8711)  1 S 1.51
H (0.7528, 0.4508, 0.8017)  1 N 1.03
O (0.7656, 0.2377, 0.0824)  1 S 1.49
O (0.2940, 0.5520, 0.6556)  1 S 1.49
Fe (0.0000, 0.0000, 0.0000)  4 O 2.12-2.20, 2 N 2.23
N (0.0517, 0.8068, 0.2539)  2 H 1.03-1.04
H (0.2840, 0.6076, 0.4273)  1 N 1.05
H (0.5652, 0.2079, 0.6953)  1 N 1.05
S (0.6174, 0.2350, 0.2223)  4 O 1.49-1.51
O (0.3434, 0.9665, 0.6647)  1 S 1.49
H (0.8913, 0.6934, 0.2575)  1 N 1.04

***

Crystalline FeH20S2N2O14 at its relaxed geometry. Source: the Alexandria database, functional PBE+U.

Output
Symmetry ... P2_1/c, No. 14
Electronic total energy ... -208.38 eV per formula unit

Unit cell a=6.4107 b=9.2653 c=12.5150 alpha=90.00 beta=90.00 gamma=106.27
Last column: nearest neighbours and their distance in Å.
Fractional positions:
H (0.1073, 0.2608, 0.8825)  1 O 0.99
S (0.2633, 0.0854, 0.3683)  4 O 1.47-1.51
H (0.3702, 0.6620, 0.9207)  1 N 1.04
H (0.1902, 0.0653, 0.6705)  1 N 1.04
H (0.5498, 0.9367, 0.3205)  1 N 1.04
O (0.4102, 0.0795, 0.2755)  1 S 1.51
H (0.9332, 0.7302, 0.8977)  1 O 1.00
H (0.1073, 0.7608, 0.6175)  1 O 0.99
O (0.9777, 0.1653, 0.1181)  2 H 0.99-1.00
N (0.3494, 0.6299, 0.8405)  4 H 1.03-1.04
H (0.0116, 0.6445, 0.3071)  1 O 0.99
O (0.6207, 0.7848, 0.5616)  1 S 1.51
H (0.8927, 0.7392, 0.1175)  1 O 0.99
H (0.3232, 0.0197, 0.1480)  1 O 0.99
Fe (0.0000, 0.5000, 0.5000)  6 O 2.11-2.21
H (0.9332, 0.2302, 0.6023)  1 O 1.00
H (0.3317, 0.7281, 0.5866)  1 O 0.99
O (0.7809, 0.5551, 0.9306)  1 S 1.47
O (0.3793, 0.7152, 0.0616)  1 S 1.51
H (0.4502, 0.0633, 0.6795)  1 N 1.04
H (0.3853, 0.7240, 0.7922)  1 N 1.03
H (0.3853, 0.2240, 0.7078)  1 N 1.03
H (0.5498, 0.4367, 0.1795)  1 N 1.04
H (0.4502, 0.5633, 0.8205)  1 N 1.04
H (0.6768, 0.4803, 0.6480)  1 O 0.99
O (0.8210, 0.8196, 0.1081)  2 H 0.99
O (0.4102, 0.5795, 0.2245)  1 S 1.51
H (0.0668, 0.2698, 0.1023)  1 O 1.00
H (0.1902, 0.5653, 0.8295)  1 N 1.04
H (0.6683, 0.2719, 0.4134)  1 O 0.99
H (0.3294, 0.8916, 0.0644)  1 O 0.99
O (0.5898, 0.4205, 0.7755)  1 S 1.51
O (0.2924, 0.9881, 0.0724)  2 H 0.99
S (0.7367, 0.9146, 0.6317)  4 O 1.47-1.51
H (0.6768, 0.9803, 0.8520)  1 O 0.99
H (0.8098, 0.4347, 0.1705)  1 N 1.04
H (0.6147, 0.7760, 0.2922)  1 N 1.03
O (0.2191, 0.9449, 0.4306)  1 S 1.47
H (0.6298, 0.8380, 0.4207)  1 N 1.04
O (0.1790, 0.6804, 0.6081)  2 H 0.99
O (0.9777, 0.6653, 0.3819)  2 H 0.99-1.00
H (0.3294, 0.3916, 0.4356)  1 O 0.99
H (0.6706, 0.1084, 0.9356)  1 O 0.99
H (0.9884, 0.8555, 0.8071)  1 O 0.99
O (0.8210, 0.3196, 0.3919)  2 H 0.99
O (0.0223, 0.8347, 0.8819)  2 H 0.99-1.00
H (0.6683, 0.7719, 0.0866)  1 O 0.99
O (0.6207, 0.2848, 0.9384)  1 S 1.51
O (0.9436, 0.3897, 0.8273)  1 S 1.50
H (0.3232, 0.5197, 0.3520)  1 O 0.99
O (0.7076, 0.0119, 0.9276)  2 H 0.99
O (0.3793, 0.2152, 0.4384)  1 S 1.51
H (0.3317, 0.2281, 0.9134)  1 O 0.99
H (0.6298, 0.3380, 0.0793)  1 N 1.04
H (0.8098, 0.9347, 0.3295)  1 N 1.04
H (0.9884, 0.3555, 0.6929)  1 O 0.99
O (0.7809, 0.0551, 0.5694)  1 S 1.47
N (0.3494, 0.1299, 0.6595)  4 H 1.03-1.04
O (0.2191, 0.4449, 0.0694)  1 S 1.47
S (0.7367, 0.4146, 0.8683)  4 O 1.47-1.51
O (0.0564, 0.1103, 0.3273)  1 S 1.50
H (0.0668, 0.7698, 0.3977)  1 O 1.00
H (0.6706, 0.6084, 0.5644)  1 O 0.99
O (0.0223, 0.3347, 0.6181)  2 H 0.99-1.00
H (0.8927, 0.2392, 0.3825)  1 O 0.99
H (0.3702, 0.1620, 0.5793)  1 N 1.04
O (0.7076, 0.5119, 0.5724)  2 H 0.99
O (0.1790, 0.1804, 0.8919)  2 H 0.99
H (0.6147, 0.2760, 0.2078)  1 N 1.03
Fe (0.0000, 0.0000, 0.0000)  6 O 2.11-2.21
O (0.2924, 0.4881, 0.4276)  2 H 0.99
N (0.6506, 0.3701, 0.1595)  4 H 1.03-1.04
O (0.5898, 0.9205, 0.7245)  1 S 1.51
H (0.0116, 0.1445, 0.1929)  1 O 0.99
O (0.0564, 0.6103, 0.1727)  1 S 1.50
S (0.2633, 0.5854, 0.1317)  4 O 1.47-1.51
N (0.6506, 0.8701, 0.3405)  4 H 1.03-1.04
O (0.9436, 0.8897, 0.6727)  1 S 1.50

***

Crystalline Fe3H10S2NO14 at its relaxed geometry. Source: the Alexandria database, functional PBE+U.

Output
Symmetry ... R3m, No. 160
Electronic total energy ... -172.15 eV per formula unit

Unit cell a=7.3138 b=7.3138 c=7.3138 alpha=61.14 beta=61.14 gamma=61.14
Last column: nearest neighbours and their distance in Å.
Fractional positions:
H (0.2767, 0.6998, 0.6998)  1 O 0.98
H (0.0954, 0.0954, 0.8716)  1 N 1.03
H (0.6998, 0.2767, 0.6998)  1 O 0.98
O (0.2635, 0.2635, 0.8779)  1 H 0.98
O (0.4947, 0.1662, 0.1662)  1 S 1.50
H (0.7157, 0.3130, 0.3130)  1 O 0.98
H (0.8716, 0.0954, 0.0954)  1 N 1.03
H (0.6998, 0.6998, 0.2767)  1 O 0.98
O (0.2635, 0.8779, 0.2635)  1 H 0.98
H (0.9425, 0.9425, 0.9425)  1 N 1.03
Fe (0.9992, 0.9992, 0.4985)  6 O 2.02-2.09
S (0.3044, 0.3044, 0.3044)  4 O 1.47-1.50
O (0.7344, 0.7344, 0.1182)  1 H 0.98
O (0.1182, 0.7344, 0.7344)  1 H 0.98
H (0.0954, 0.8716, 0.0954)  1 N 1.03
O (0.7344, 0.1182, 0.7344)  1 H 0.98
N (0.0004, 0.0004, 0.0004)  4 H 1.03
O (0.6118, 0.6118, 0.6118)  1 S 1.47
O (0.3873, 0.3873, 0.3873)  1 S 1.47
O (0.5044, 0.8326, 0.8326)  1 S 1.50
H (0.3130, 0.7157, 0.3130)  1 O 0.98
S (0.6946, 0.6946, 0.6946)  4 O 1.47-1.50
H (0.3130, 0.3130, 0.7157)  1 O 0.98
Fe (0.9992, 0.4985, 0.9992)  6 O 2.02-2.09
O (0.8326, 0.5044, 0.8326)  1 S 1.50
Fe (0.4985, 0.9992, 0.9992)  6 O 2.02-2.09
O (0.8779, 0.2635, 0.2635)  1 H 0.98
O (0.8326, 0.8326, 0.5044)  1 S 1.50
O (0.1662, 0.4947, 0.1662)  1 S 1.50
O (0.1662, 0.1662, 0.4947)  1 S 1.50